Record 1
Here is crystalline Rb2SrZr3O8 at its relaxed geometry from Alexandria. Energies are from GGA-PBE.

Summary:
VASP energy, eV per atom: -7.717
DOS(E_F), states/eV/atom: 0.000
Spin magnetization, μB per cell: 0.0

POSCAR file:
```
Rb2SrZr3O8
1.0
6.676 0.000 0.000
3.338 5.781 0.000
3.338 1.927 6.593
Zr O Rb Sr
3 8 2 1
Direct
0.002 0.498 0.003 Zr
0.498 0.498 0.003 Zr
0.498 0.002 0.003 Zr
0.722 0.722 0.833 O
0.313 0.756 0.175 O
0.756 0.313 0.175 O
0.274 0.274 0.178 O
0.236 0.236 0.850 O
0.756 0.756 0.175 O
0.236 0.679 0.850 O
0.679 0.236 0.850 O
0.129 0.129 0.612 Rb
0.497 0.497 0.510 Rb
0.898 0.898 0.307 Sr
```

=====

Record 2
Here is crystalline Rb8Ta6O19 at its relaxed geometry from Alexandria. Energies are from GGA-PBE.

Summary:
VASP energy, eV per atom: -7.785
DOS(E_F), states/eV/atom: 0.000
Spin magnetization, μB per cell: 0.0

POSCAR file:
```
Rb8Ta6O19
1.0
-7.763 -3.359 -4.809
5.850 -6.720 -3.913
-0.467 0.694 9.695
Ta O Rb
6 19 8
Direct
0.783 0.895 0.677 Ta
0.826 0.826 0.000 Ta
0.895 0.217 0.112 Ta
0.105 0.783 0.888 Ta
0.174 0.174 0.000 Ta
0.217 0.105 0.323 Ta
0.375 0.201 0.576 O
0.625 0.799 0.424 O
0.088 0.264 0.352 O
0.031 0.944 0.268 O
0.944 0.676 0.912 O
0.912 0.736 0.648 O
0.000 0.000 0.000 O
0.799 0.375 0.174 O
0.969 0.056 0.732 O
0.690 0.690 0.000 O
0.736 0.088 0.824 O
0.237 0.969 0.912 O
0.056 0.324 0.088 O
0.201 0.625 0.826 O
0.676 0.763 0.732 O
0.324 0.237 0.268 O
0.310 0.310 0.000 O
0.264 0.912 0.176 O
0.763 0.031 0.088 O
0.556 0.915 0.185 Rb
0.085 0.270 0.641 Rb
0.270 0.629 0.185 Rb
0.371 0.556 0.641 Rb
0.730 0.371 0.815 Rb
0.444 0.085 0.815 Rb
0.915 0.730 0.359 Rb
0.629 0.444 0.359 Rb
```

=====

Record 3
Here is crystalline Rb2Ta15O32 at its relaxed geometry from Alexandria. Energies are from GGA-PBE.

Summary:
VASP energy, eV per atom: -9.586
DOS(E_F), states/eV/atom: 0.348
Spin magnetization, μB per cell: 1.0

POSCAR file:
```
Rb2Ta15O32
1.0
-4.229 -4.950 -4.428
2.601 -7.316 -1.307
-6.425 -7.957 8.030
O Ta Rb
32 15 2
Direct
0.736 0.736 0.791 O
0.528 0.740 0.403 O
0.571 0.156 0.817 O
0.260 0.671 0.597 O
0.329 0.528 0.403 O
0.699 0.961 0.197 O
0.150 0.035 0.367 O
0.830 0.428 0.000 O
0.170 0.572 0.000 O
0.448 0.150 0.367 O
0.743 0.830 0.000 O
0.850 0.965 0.633 O
0.844 0.544 0.183 O
0.456 0.571 0.817 O
0.039 0.856 0.803 O
0.472 0.260 0.597 O
0.035 0.448 0.367 O
0.572 0.257 0.000 O
0.740 0.329 0.403 O
0.429 0.844 0.183 O
0.428 0.743 0.000 O
0.965 0.552 0.633 O
0.301 0.039 0.803 O
0.961 0.144 0.197 O
0.156 0.456 0.817 O
0.144 0.699 0.197 O
0.856 0.301 0.803 O
0.671 0.472 0.597 O
0.544 0.429 0.183 O
0.264 0.264 0.209 O
0.552 0.850 0.633 O
0.257 0.170 0.000 O
0.572 0.026 0.704 Ta
0.428 0.974 0.296 Ta
0.184 0.948 0.097 Ta
0.948 0.771 0.097 Ta
0.362 0.362 0.914 Ta
0.500 0.500 0.500 Ta
0.026 0.697 0.704 Ta
0.303 0.428 0.296 Ta
0.052 0.229 0.903 Ta
0.771 0.184 0.097 Ta
0.638 0.638 0.086 Ta
0.974 0.303 0.296 Ta
0.816 0.052 0.903 Ta
0.697 0.572 0.704 Ta
0.229 0.816 0.903 Ta
0.141 0.141 0.578 Rb
0.859 0.859 0.422 Rb
```

=====

What did the first record say?
Here is crystalline Rb2SrZr3O8 at its relaxed geometry from Alexandria. Energies are from GGA-PBE.

Summary:
VASP energy, eV per atom: -7.717
DOS(E_F), states/eV/atom: 0.000
Spin magnetization, μB per cell: 0.0

POSCAR file:
```
Rb2SrZr3O8
1.0
6.676 0.000 0.000
3.338 5.781 0.000
3.338 1.927 6.593
Zr O Rb Sr
3 8 2 1
Direct
0.002 0.498 0.003 Zr
0.498 0.498 0.003 Zr
0.498 0.002 0.003 Zr
0.722 0.722 0.833 O
0.313 0.756 0.175 O
0.756 0.313 0.175 O
0.274 0.274 0.178 O
0.236 0.236 0.850 O
0.756 0.756 0.175 O
0.236 0.679 0.850 O
0.679 0.236 0.850 O
0.129 0.129 0.612 Rb
0.497 0.497 0.510 Rb
0.898 0.898 0.307 Sr
```